# 1
BaNa2Li2: optimized geometry, GGA-PBEsol.

```
BaNa2Li2
1.0
-0.393 5.281 1.540
-0.426 -1.568 5.270
6.293 -1.581 -2.847
Na Ba Li
2 1 2
direct
0.366 0.366 0.732
0.634 0.634 0.268
0.000 0.000 0.000
0.250 0.750 0.500
0.750 0.250 0.500
```

Computed properties:
D(E_F), states/eV/f.u.: 3.0
Crystal system: tetragonal
Formation energy from the elements, eV/atom: 0.07

---

# 2
Ba2NaLi: optimized geometry, GGA-PBEsol.

```
Ba2NaLi
1.0
-4.928 3.470 1.967
-5.912 -1.809 -1.405
-3.810 -2.205 4.563
Na Ba Li
1 2 1
direct
0.500 0.500 0.500
0.250 0.250 0.250
0.750 0.750 0.750
0.000 0.000 0.000
```

Computed properties:
D(E_F), states/eV/f.u.: 5.5
Crystal system: cubic
Formation energy from the elements, eV/atom: 0.04